# 1
A plane-wave DFT calculation with GGA-PBEsol was carried out for an optimized crystal structure of K2NaTlO3.

Calculated values
* space-group type: No. 14
* calculated volume: 523.5 Å³/cell
* calculated total energy: -120.19 eV for the cell shown
* total magnetization: 0.00 Bohr magnetons per cell

Cell lengths 6.3103, 6.9435, 12.0057 Å; angles 90.00, 95.65, 90.00 degrees
Sites, in units of the cell vectors:
K  0.0690  0.1415  0.1383
K  0.0690  0.3585  0.6383
K  0.4236  0.6637  0.8577
K  0.4236  0.8363  0.3577
K  0.5764  0.1637  0.6423
K  0.5764  0.3363  0.1423
K  0.9310  0.6415  0.3617
K  0.9310  0.8585  0.8617
Na  0.3620  0.1244  0.9116
Na  0.3620  0.3756  0.4116
Na  0.6380  0.6244  0.5884
Na  0.6380  0.8756  0.0884
Tl  0.1444  0.6283  0.0923
Tl  0.1444  0.8717  0.5923
Tl  0.8556  0.1283  0.4077
Tl  0.8556  0.3717  0.9077
O  0.2014  0.1011  0.4633
O  0.2014  0.3989  0.9633
O  0.2437  0.0048  0.7451
O  0.2437  0.4952  0.2451
O  0.2769  0.6191  0.5306
O  0.2769  0.8809  0.0306
O  0.7231  0.1191  0.9694
O  0.7231  0.3809  0.4694
O  0.7563  0.5048  0.7549
O  0.7563  0.9952  0.2549
O  0.7986  0.6011  0.0367
O  0.7986  0.8989  0.5367

---

# 2
A plane-wave DFT calculation with GGA-PBEsol was carried out for an optimized crystal structure of KNaV2O6.

Calculated values
* space-group type: No. 15
* calculated volume: 298.4 Å³/cell
* calculated total energy: -153.03 eV for the cell shown
* total magnetization: 0.01 Bohr magnetons per cell

Cell lengths 7.2885, 7.2885, 5.8097 Å; angles 100.48, 100.48, 87.13 degrees
Sites, in units of the cell vectors:
K  0.1966  0.8034  0.7500
K  0.8034  0.1966  0.2500
Na  0.4061  0.5939  0.2500
Na  0.5939  0.4061  0.7500
V  0.1276  0.2984  0.7777
V  0.2984  0.1276  0.2777
V  0.7016  0.8724  0.7223
V  0.8724  0.7016  0.2223
O  0.0825  0.6103  0.2856
O  0.1386  0.1674  0.0150
O  0.1674  0.1386  0.5150
O  0.2868  0.4624  0.8491
O  0.3897  0.9175  0.2144
O  0.4624  0.2868  0.3491
O  0.5376  0.7132  0.6509
O  0.6103  0.0825  0.7856
O  0.7132  0.5376  0.1509
O  0.8326  0.8614  0.4850
O  0.8614  0.8326  0.9850
O  0.9175  0.3897  0.7144

---

Formation energy without anion corrections for the records above, in order: -1.143; -2.322 eV per atom